## TlCrAu2 (GGA-PBE)

Data for a geometry-optimized TlCrAu2 structure.

Computed properties:
The total DFT energy (no corrections) is -70.28 eV/cell. Its energy relative to the elements is 243 meV per atom. The calculation puts the total magnetization at 16.327 Bohr magnetons per cell.

Lattice parameters (Å, degrees): 6.7518 6.7518 6.7518 90.00 90.00 90.00
Last column: nearest neighbours and their distance in Å.
Space group F-43m (No. 216)
Inequivalent atoms, fractional coordinates:
Tl 0.0000 0.0000 0.0000 x4  4 Cr 2.92, 4 Au 2.92
Cr 0.2500 0.2500 0.7500 x4  4 Au 2.92, 4 Tl 2.92
Au 0.0000 0.0000 0.5000 x4  4 Au 2.92, 4 Cr 2.92
Au 0.2500 0.2500 0.2500 x4  4 Tl 2.92, 4 Au 2.92

---

## TlCr2Au (GGA-PBE)

Data for a geometry-optimized TlCr2Au structure.

Computed properties:
The total DFT energy (no corrections) is -87.77 eV/cell. Its energy relative to the elements is 737 meV per atom. The calculation puts the total magnetization at 33.091 Bohr magnetons per cell.

Lattice parameters (Å, degrees): 7.5082 7.5082 5.9949 90.00 90.00 90.00
Last column: nearest neighbours and their distance in Å.
Space group I-42d (No. 122)
Inequivalent atoms, fractional coordinates:
Tl 0.0000 0.0000 0.0000 x4  4 Cr 2.85, 2 Au 3.00
Cr 0.2319 0.2500 0.6250 x8  2 Au 2.67, 2 Tl 2.85
Au 0.0000 0.0000 0.5000 x4  4 Cr 2.67

---

## Tl2CrAu2 (GGA-PBE)

Data for a geometry-optimized Tl2CrAu2 structure.

Computed properties:
The total DFT energy (no corrections) is -39.30 eV/cell. Its energy relative to the elements is 252 meV per atom. The calculation puts the total magnetization at 8.944 Bohr magnetons per cell.

Lattice parameters (Å, degrees): 7.2456 7.2456 4.4282 90.00 90.00 90.00
Last column: nearest neighbours and their distance in Å.
Space group P4/mbm (No. 127)
Inequivalent atoms, fractional coordinates:
Tl 0.1707 0.3293 0.0000 x4  6 Au 2.93-3.17
Cr 0.0000 0.0000 0.5000 x2  4 Au 2.79
Au 0.1413 0.6413 0.5000 x4  2 Cr 2.79, 1 Au 2.90, 2 Tl 2.93

---

## Tl3CrAu (GGA-PBE)

Data for a geometry-optimized Tl3CrAu structure.

Computed properties:
The total DFT energy (no corrections) is -17.15 eV/cell. Its energy relative to the elements is 570 meV per atom. The calculation puts the total magnetization at 3.828 Bohr magnetons per cell. For the energy above the most stable polymorph in this dataset, the calculation gives 0.0000 eV/atom.

Lattice parameters (Å, degrees): 5.3145 5.3145 5.3145 90.00 90.00 90.00
Last column: nearest neighbours and their distance in Å.
Space group Pm-3m (No. 221)
Inequivalent atoms, fractional coordinates:
Tl 0.0000 0.0000 0.5000 x3  2 Cr 2.66
Cr 0.0000 0.0000 0.0000 x1  6 Tl 2.66
Au 0.5000 0.5000 0.5000 x1  12 Tl 3.76

---

## TlCrAu2 (GGA-PBE)

Data for a geometry-optimized TlCrAu2 structure.

Computed properties:
The total DFT energy (no corrections) is -52.48 eV/cell. Its energy relative to the elements is 263 meV per atom. The calculation puts the total magnetization at 11.823 Bohr magnetons per cell.

Lattice parameters (Å, degrees): 3.4104 3.4104 25.1750 90.00 90.00 120.00
Last column: nearest neighbours and their distance in Å.
Space group R-3m (No. 166, hexagonal axes)
Inequivalent atoms, fractional coordinates:
Tl 0.0000 0.0000 0.0000 x3  6 Au 3.07, 6 Tl 3.41
Cr 0.0000 0.0000 0.5000 x3  6 Au 2.70
Au 0.0000 0.0000 0.2400 x6  3 Cr 2.70

---

## TlCrAu2 (GGA-PBE)

Data for a geometry-optimized TlCrAu2 structure.

Computed properties:
The total DFT energy (no corrections) is -35.49 eV/cell. Its energy relative to the elements is 200 meV per atom. The calculation puts the total magnetization at 7.878 Bohr magnetons per cell.

Lattice parameters (Å, degrees): 6.2781 6.3188 3.9140 90.00 90.00 90.00
Last column: nearest neighbours and their distance in Å.
Space group Cmmm (No. 65)
Inequivalent atoms, fractional coordinates:
Tl 0.0000 0.0000 0.0000 x2  8 Au 2.96, 4 Cr 3.14-3.16
Cr 0.0000 0.5000 0.0000 x2  8 Au 2.96, 4 Tl 3.14-3.16
Au 0.2500 0.2500 0.5000 x4  4 Tl 2.96, 4 Cr 2.96, 4 Au 3.14-3.16

---

## TlCrAu (GGA-PBE)

Data for a geometry-optimized TlCrAu structure.

Computed properties:
The total DFT energy (no corrections) is -28.58 eV/cell. Its energy relative to the elements is 326 meV per atom. The calculation puts the total magnetization at 8.682 Bohr magnetons per cell. For the energy above the most stable polymorph in this dataset, the calculation gives 0.0000 eV/atom.

Lattice parameters (Å, degrees): 3.5851 3.5851 9.4387 90.00 90.00 90.00
Last column: nearest neighbours and their distance in Å.
Space group I4mm (No. 107)
Inequivalent atoms, fractional coordinates:
Tl 0.0000 0.0000 0.0000 x2  5 Cr 3.01-3.06, 5 Au 3.03-3.05
Cr 0.0000 0.0000 0.3187 x2  4 Au 2.86, 5 Tl 3.01-3.06
Au 0.0000 0.0000 0.6794 x2  4 Cr 2.86, 5 Tl 3.03-3.05

---

## TlCrAu4 (GGA-PBE)

Data for a geometry-optimized TlCrAu4 structure.

Computed properties:
The total DFT energy (no corrections) is -95.75 eV/cell. Its energy relative to the elements is 194 meV per atom. The calculation puts the total magnetization at 19.254 Bohr magnetons per cell.

Lattice parameters (Å, degrees): 7.9084 7.9084 7.9084 90.00 90.00 90.00
Last column: nearest neighbours and their distance in Å.
Space group F-43m (No. 216)
Inequivalent atoms, fractional coordinates:
Tl 0.0000 0.0000 0.0000 x4  12 Au 3.28, 4 Cr 3.42
Cr 0.2500 0.2500 0.2500 x4  12 Au 3.28, 4 Tl 3.42
Au 0.1246 0.1246 0.6246 x16  6 Au 2.79-2.81

---

## TlCrAu (GGA-PBE)

Data for a geometry-optimized TlCrAu structure.

Computed properties:
The total DFT energy (no corrections) is -14.06 eV/cell. Its energy relative to the elements is 402 meV per atom. The calculation puts the total magnetization at 4.162 Bohr magnetons per cell. For the energy above the most stable polymorph in this dataset, the calculation gives 0.0766 eV/atom.

Lattice parameters (Å, degrees): 4.6263 4.6263 3.3005 90.00 90.00 120.00
Last column: nearest neighbours and their distance in Å.
Space group P3m1 (No. 156)
Inequivalent atoms, fractional coordinates:
Tl 0.0000 0.0000 0.0000 x1  3 Au 2.89, 3 Cr 2.93
Cr 0.3333 0.6667 0.6373 x1  3 Au 2.86, 3 Tl 2.93
Au 0.6667 0.3333 0.3309 x1  3 Cr 2.86, 3 Tl 2.89

---

## TlCr2Au (GGA-PBE)

Data for a geometry-optimized TlCr2Au structure.

Computed properties:
The total DFT energy (no corrections) is -45.13 eV/cell. Its energy relative to the elements is 581 meV per atom. The calculation puts the total magnetization at 0.000 Bohr magnetons per cell.

Lattice parameters (Å, degrees): 9.5925 2.9585 5.5712 90.00 110.75 90.00
Last column: nearest neighbours and their distance in Å.
Space group C2/m (No. 12)
Inequivalent atoms, fractional coordinates:
Tl 0.0000 0.0000 0.0000 x2  4 Cr 2.90, 2 Tl 2.96, 4 Au 3.15
Cr 0.2469 0.5000 0.3562 x4  2 Cr 2.17
Au 0.0000 0.5000 0.5000 x2  6 Cr 2.71-2.76, 2 Au 2.96

---

## TlCr2Au (GGA-PBE)

Data for a geometry-optimized TlCr2Au structure.

Computed properties:
The total DFT energy (no corrections) is -45.41 eV/cell. Its energy relative to the elements is 547 meV per atom. The calculation puts the total magnetization at 16.253 Bohr magnetons per cell.

Lattice parameters (Å, degrees): 4.2144 4.2144 8.4030 90.00 90.00 90.00
Last column: nearest neighbours and their distance in Å.
Space group I-4m2 (No. 119)
Inequivalent atoms, fractional coordinates:
Tl 0.0000 0.0000 0.0000 x2  8 Cr 2.98, 4 Au 2.98
Cr 0.0000 0.0000 0.5000 x2  4 Cr 2.98, 4 Au 2.98, 4 Tl 2.98
Cr 0.0000 0.5000 0.7500 x2  4 Cr 2.98, 4 Tl 2.98, 4 Au 2.98
Au 0.0000 0.5000 0.2500 x2  8 Cr 2.98, 4 Tl 2.98

---

## TlCr2Au (GGA-PBE)

Data for a geometry-optimized TlCr2Au structure.

Computed properties:
The total DFT energy (no corrections) is -23.62 eV/cell. Its energy relative to the elements is 316 meV per atom. The calculation puts the total magnetization at 0.142 Bohr magnetons per cell.

Lattice parameters (Å, degrees): 3.1619 3.1619 7.0944 90.00 90.00 90.00
Last column: nearest neighbours and their distance in Å.
Space group P4mm (No. 99)
Inequivalent atoms, fractional coordinates:
Tl 0.0000 0.0000 0.0000 x1  5 Cr 3.03-3.20, 4 Au 3.13, 4 Tl 3.16
Cr 0.0000 0.0000 0.5487 x1  4 Cr 2.52, 4 Au 2.81
Cr 0.5000 0.5000 0.7116 x1  4 Cr 2.52
Au 0.5000 0.5000 0.3078 x1  5 Cr 2.81-2.86, 4 Tl 3.13